This record from OQMD via LeMat-Bulk describes an optimized crystal structure of Nd2SiPt8. The functional is PBE.

The calculation puts the electronic total energy at -6.664 eV per atom.

It has space group Amm2 (No. 38), with a = 4.2959 Å, b = 17.7309 Å, c = 5.4468 Å, α = 90.00°, β = 90.00° and γ = 90.00°. Symmetry generates all atoms from Nd at (0.0000, 0.1228, 0.0000), Si at (0.5000, 0.0000, 0.2688), Pt at (0.0000, 0.0000, 0.4906), Pt at (0.0000, 0.2012, 0.5016), Pt at (0.5000, 0.0000, 0.8520), Pt at (0.5000, 0.1111, 0.4966) and Pt at (0.5000, 0.2487, 0.7559).